Computed, not measured: a relaxed Cd2Pd5Au5 crystal at the PBE level of DFT.

Geometry as extended XYZ:
```
12
Lattice="-1.109 -0.559 3.950 6.407 -0.209 -0.402 -3.527 8.385 0.197" Properties=species:S:1:pos:R:3 pbc="T T T"
Cd -1.656 6.185 0.411
Cd 3.427 1.431 3.335
Pd 0.200 4.017 0.625
Pd -0.280 5.754 2.906
Pd 2.052 1.862 0.839
Pd 1.572 3.599 3.121
Pd 0.000 0.000 0.000
Au -2.318 3.913 2.074
Au 1.371 -0.431 2.494
Au -0.405 1.764 2.306
Au 2.176 5.853 1.439
Au 0.400 8.047 1.251
```

Values from the calculation:
For the energy relative to the lowest polymorph listed for this composition, the calculation gives 0.0126 eV per atom. Its formation energy is -196.6 meV per atom. As for the space group: C2/m (12).

Computed, not measured: a relaxed Cd3Pd5Au crystal at the PBE level of DFT.

Geometry as extended XYZ:
```
18
Lattice="-4.280 3.261 -1.342 -4.698 -4.047 5.151 4.124 6.451 2.523" Properties=species:S:1:pos:R:3 pbc="T T T"
Cd -3.413 3.298 1.715
Cd -0.548 6.609 0.622
Cd -6.242 -0.166 2.318
Cd -1.440 2.367 4.617
Cd -4.305 -0.944 5.710
Cd -2.736 -0.620 1.491
Pd -1.757 -0.548 4.275
Pd -0.956 4.582 2.728
Pd 1.184 2.951 3.399
Pd -3.897 1.083 3.604
Pd -3.603 4.093 4.251
Pd -1.911 4.477 -0.212
Pd -4.689 1.172 0.615
Pd -1.251 1.572 2.081
Pd -2.942 1.188 6.544
Pd -4.289 -1.958 3.194
Au 0.000 0.000 0.000
Au -2.140 1.631 -0.671
```

Values from the calculation:
Its formation energy is -282.8 meV per atom. As for the space group: P6_3/mcm (193).

Computed, not measured: a relaxed CdPdAu crystal at the PBE level of DFT.

Geometry as extended XYZ:
```
3
Lattice="6.557 -0.526 1.309 3.584 2.836 0.226 -0.550 0.461 2.937" Properties=species:S:1:pos:R:3 pbc="T T T"
Cd 5.070 1.155 0.768
Pd -0.275 0.230 1.468
Au 1.792 1.418 0.113
```

Values from the calculation:
For the energy relative to the lowest polymorph listed for this composition, the calculation gives 0.1007 eV per atom. Its formation energy is -165.6 meV per atom. As for the space group: P2/m (10).

Computed, not measured: a relaxed Cd3PdAu4 crystal at the PBE level of DFT.

Geometry as extended XYZ:
```
16
Lattice="5.011 0.000 0.000 0.000 6.090 0.000 0.000 0.000 9.728" Properties=species:S:1:pos:R:3 pbc="T T T"
Au 2.505 4.533 0.000
Au 2.505 4.533 4.864
Au 2.505 1.557 0.000
Au 2.505 1.557 4.864
Au 0.703 4.536 7.296
Au 4.308 4.536 2.432
Au 4.308 1.554 2.432
Au 0.703 1.554 7.296
Pd 0.000 3.045 0.000
Pd 0.000 3.045 4.864
Cd 0.000 0.000 0.000
Cd 0.000 0.000 4.864
Cd 3.150 0.000 7.296
Cd 1.861 0.000 2.432
Cd 3.255 3.045 7.296
Cd 1.755 3.045 2.432
```

Values from the calculation:
For the energy relative to the lowest polymorph listed for this composition, the calculation gives 0.0072 eV per atom. Its formation energy is -190.8 meV per atom. As for the space group: Pmma (51).

Computed, not measured: a relaxed CdPd8Au5 crystal at the PBE level of DFT.

Geometry as extended XYZ:
```
14
Lattice="-4.766 -7.004 4.126 8.349 1.105 -4.227 -0.128 3.899 3.614" Properties=species:S:1:pos:R:3 pbc="T T T"
Cd 5.019 1.007 -0.332
Pd 1.298 -5.841 1.198
Pd 2.288 -0.141 -0.195
Pd 4.324 -1.936 0.504
Pd 2.886 2.205 1.217
Pd 0.150 -3.514 2.307
Pd 7.294 2.905 -0.457
Pd 4.437 0.087 2.250
Pd -0.411 -0.816 2.995
Au -1.556 -1.980 5.226
Au 2.243 -1.611 2.295
Au 5.850 -1.401 -1.738
Au 1.825 -3.004 -0.052
Au 0.232 1.224 1.245
```

Values from the calculation:
For the energy relative to the lowest polymorph listed for this composition, the calculation gives 0.0000 eV per atom. Its formation energy is 15.7 meV per atom. As for the space group: C2 (5).

Computed, not measured: a relaxed CdPd5Au2 crystal at the PBE level of DFT.

Geometry as extended XYZ:
```
8
Lattice="3.780 0.000 -1.417 -0.531 3.742 -1.417 1.014 1.169 8.453" Properties=species:S:1:pos:R:3 pbc="T T T"
Cd 0.000 0.000 0.000
Pd 1.624 1.871 -1.417
Pd 2.542 0.752 1.032
Pd 0.387 2.623 1.032
Pd 1.720 4.159 4.587
Pd 3.875 2.288 4.587
Au 1.319 1.519 3.517
Au 2.944 3.391 2.102
```

Values from the calculation:
For the energy relative to the lowest polymorph listed for this composition, the calculation gives 0.0119 eV per atom. Its formation energy is -156.1 meV per atom. As for the space group: I4/mmm (139).

Computed, not measured: a relaxed Cd2Pd8Au crystal at the PBE level of DFT.

Geometry as extended XYZ:
```
11
Lattice="-1.631 -4.036 0.493 -3.030 0.462 -6.238 7.352 -0.561 0.259" Properties=species:S:1:pos:R:3 pbc="T T T"
Cd 0.501 -0.711 -4.168
Cd 2.190 -3.424 -1.318
Pd -1.504 -2.375 -4.952
Pd 2.915 -1.565 -3.167
Pd 1.528 -0.715 -0.795
Pd -0.899 0.137 -1.851
Pd 1.163 -3.420 -4.690
Pd -0.224 -2.570 -2.318
Pd 4.195 -1.760 -0.533
Pd 3.590 -4.272 -3.634
Au -0.815 -2.018 0.247
```

Values from the calculation:
For the energy relative to the lowest polymorph listed for this composition, the calculation gives 0.1039 eV per atom. Its formation energy is -90.3 meV per atom. As for the space group: Immm (71).

Computed, not measured: a relaxed Cd2Pd5Au3 crystal at the PBE level of DFT.

Geometry as extended XYZ:
```
10
Lattice="-1.161 1.526 4.105 -4.631 -1.809 1.875 7.565 -2.987 5.734" Properties=species:S:1:pos:R:3 pbc="T T T"
Cd 0.764 -0.506 2.904
Cd 1.008 -2.764 8.811
Pd 0.000 0.000 0.000
Pd 3.151 -1.783 4.046
Pd -1.378 -1.487 7.669
Pd -1.534 -0.988 4.940
Pd 3.307 -2.282 6.775
Au 0.886 -1.635 5.857
Au -1.960 -0.823 2.258
Au 3.733 -2.446 9.457
```

Values from the calculation:
For the energy relative to the lowest polymorph listed for this composition, the calculation gives 0.0000 eV per atom. Its formation energy is -124.3 meV per atom. As for the space group: P-1 (2).